1.
A plane-wave DFT calculation with PBE was carried out for a relaxed Ba2SrCa crystal.

a b c (Å): 4.8779 4.8779 9.3229
angles (deg): 90.00 90.00 90.00
Fractional coordinates of all 4 atoms:
Sr 0.5000 0.5000 0.7316
Ca 0.0000 0.0000 0.5084
Ba 0.0000 0.0000 0.9910
Ba 0.5000 0.5000 0.2690

Output
relative energy among the computed polymorphs	0.00	eV/f.u.
raw total energy	-1.8631	eV per atom

2.
A plane-wave DFT calculation with PBE was carried out for a relaxed UC3SN2O8 crystal.

a b c (Å): 8.5039 8.5039 10.2296
angles (deg): 75.19 75.19 97.99
Site moments in Bohr magnetons follow the coordinates.
Fractional coordinates of all 30 atoms:
U 0.1635 0.8365 0.2500  0.01
U 0.8365 0.1635 0.7500  0.01
C 0.0795 0.4663 0.4774  0.00
C 0.5337 0.9205 0.0226  0.00
C 0.9205 0.5337 0.5226  0.00
C 0.4663 0.0795 0.9774  0.00
C 0.8741 0.1259 0.2500  0.04
C 0.1259 0.8741 0.7500  0.04
S 0.7474 0.2526 0.2500  -0.23
S 0.2526 0.7474 0.7500  -0.23
N 0.9662 0.0338 0.2500  -0.10
N 0.0338 0.9662 0.7500  -0.10
N 0.5161 0.4839 0.2500  1.93
N 0.4839 0.5161 0.7500  1.93
O 0.9225 0.6778 0.4473  -0.02
O 0.3222 0.0775 0.0527  -0.02
O 0.0775 0.3222 0.5527  -0.02
O 0.6778 0.9225 0.9473  -0.02
O 0.1939 0.5620 0.3702  0.00
O 0.4380 0.8061 0.1298  0.00
O 0.8061 0.4380 0.6298  0.00
O 0.5620 0.1939 0.8702  0.00
O 0.2468 0.9211 0.3686  0.00
O 0.0789 0.7532 0.1314  0.00
O 0.7532 0.0789 0.6314  0.00
O 0.9211 0.2468 0.8686  0.00
O 0.4990 0.9279 0.5309  0.63
O 0.0721 0.5010 0.9691  0.63
O 0.5010 0.0721 0.4691  0.63
O 0.9279 0.4990 0.0309  0.63

Output
formation energy (no corrections)	-670	meV/atom
relative energy among the computed polymorphs	0.00	eV/f.u.
raw total energy	-7.2966	eV per atom

3.
A plane-wave DFT calculation with PBE was carried out for a relaxed Er5Bi5Pt crystal.

a b c (Å): 6.1046 7.4778 8.8280
angles (deg): 109.08 90.00 114.09
Fractional coordinates of all 11 atoms:
Er 0.8342 0.6683 0.1429
Er 0.8404 0.6808 0.6910
Er 0.5000 0.0000 0.0000
Er 0.1596 0.3192 0.3090
Er 0.1658 0.3317 0.8571
Bi 0.6728 0.3457 0.3401
Bi 0.6415 0.2830 0.7885
Bi 0.0000 0.0000 0.5000
Bi 0.3585 0.7170 0.2115
Bi 0.3272 0.6543 0.6599
Pt 0.0000 0.0000 0.0000

Output
raw total energy	-4.9651	eV per atom